The following is a PBE-GGA calculation of a relaxed structure of Tl2MoSe, from Alexandria.

## Properties
**Uncorrected formation energy**: 0.22 eV/atom
**Calculated total energy**: -36.3 eV per cell

Unit cell a=3.162 b=4.804 c=13.324 alpha=90.00 beta=90.00 gamma=90.00
Space group Imm2 (No. 44)
Asymmetric unit:
Tl1 0.000 0.000 0.000
Tl2 0.000 0.500 0.181
Mo1 0.000 0.500 0.721
Se1 0.000 0.000 0.364